1.
Material: Ca2Zn3Ge4Pt
Method: DFT, PBE
State: relaxed

As for the calculated volume: 19.6 A^3/atom. The formation energy is -427 meV/atom. The value obtained for the spin magnetization is 0.00 μB per cell. As for the electronic total energy: -3.660 eV per atom.

Unit cell a=4.301 b=4.301 c=10.603 alpha=90.00 beta=90.00 gamma=90.00
Atoms (fractional coordinates):
Ca 0.500 0.000 0.259
Ca 0.000 0.500 0.741
Zn 0.000 0.000 0.500
Zn 0.500 0.000 0.862
Zn 0.000 0.500 0.138
Ge 0.500 0.500 0.000
Ge 0.000 0.000 0.000
Ge 0.500 0.000 0.631
Ge 0.000 0.500 0.369
Pt 0.500 0.500 0.500


2.
Material: Ca2Zn2GePt5
Method: DFT, PBE
State: relaxed

As for the calculated volume: 17.6 A^3/atom. The formation energy is -682 meV/atom. The value obtained for the spin magnetization is 0.00 μB per cell. As for the electronic total energy: -4.819 eV per atom.

Unit cell a=3.684 b=9.762 c=9.762 alpha=90.00 beta=90.00 gamma=90.00
Atoms (fractional coordinates):
Ca 0.000 0.674 0.174
Ca 0.000 0.326 0.826
Ca 0.000 0.174 0.326
Ca 0.000 0.826 0.674
Zn 0.000 0.125 0.625
Zn 0.000 0.875 0.375
Zn 0.000 0.625 0.875
Zn 0.000 0.375 0.125
Ge 0.000 0.000 0.000
Ge 0.000 0.500 0.500
Pt 0.500 0.200 0.064
Pt 0.500 0.800 0.936
Pt 0.500 0.064 0.800
Pt 0.500 0.700 0.436
Pt 0.500 0.936 0.200
Pt 0.500 0.300 0.564
Pt 0.500 0.564 0.700
Pt 0.500 0.436 0.300
Pt 0.500 0.500 0.000
Pt 0.500 0.000 0.500


3.
Material: Ca2Zn3GePt4
Method: DFT, PBE
State: relaxed

As for the calculated volume: 19.1 A^3/atom. The formation energy is -709 meV/atom. The value obtained for the spin magnetization is 0.00 μB per cell. As for the electronic total energy: -4.369 eV per atom.

Unit cell a=4.221 b=4.221 c=10.692 alpha=90.00 beta=90.00 gamma=90.00
Atoms (fractional coordinates):
Ca 0.500 0.000 0.238
Ca 0.000 0.500 0.762
Zn 0.000 0.000 0.500
Zn 0.500 0.000 0.865
Zn 0.000 0.500 0.135
Ge 0.500 0.500 0.500
Pt 0.500 0.500 0.000
Pt 0.000 0.000 0.000
Pt 0.500 0.000 0.632
Pt 0.000 0.500 0.368


4.
Material: CaZnGe2Pt5
Method: DFT, PBE
State: relaxed

As for the calculated volume: 20.0 A^3/atom. The formation energy is -543 meV/atom. The value obtained for the spin magnetization is 0.00 μB per cell. As for the electronic total energy: -5.289 eV per atom.

Unit cell a=4.053 b=4.053 c=10.935 alpha=90.00 beta=90.00 gamma=90.00
Atoms (fractional coordinates):
Ca 0.000 0.000 0.500
Zn 0.000 0.000 0.000
Ge 0.500 0.500 0.279
Ge 0.500 0.500 0.721
Pt 0.000 0.500 0.150
Pt 0.500 0.000 0.150
Pt 0.000 0.500 0.850
Pt 0.500 0.000 0.850
Pt 0.500 0.500 0.500


5.
Material: CaZnGePt3
Method: DFT, PBE
State: relaxed

As for the calculated volume: 19.3 A^3/atom. The formation energy is -559 meV/atom. The value obtained for the spin magnetization is 0.00 μB per cell. As for the electronic total energy: -4.894 eV per atom.

Unit cell a=5.641 b=6.927 c=6.865 alpha=120.30 beta=90.00 gamma=90.00
Atoms (fractional coordinates):
Ca 0.750 0.297 0.593
Ca 0.250 0.703 0.407
Zn 0.250 0.949 0.898
Zn 0.750 0.051 0.102
Ge 0.250 0.371 0.742
Ge 0.750 0.629 0.258
Pt 0.250 0.169 0.338
Pt 0.000 0.292 0.000
Pt 0.500 0.708 0.000
Pt 0.500 0.292 0.000
Pt 0.000 0.708 0.000
Pt 0.750 0.831 0.662


6.
Material: Ca2ZnGe3Pt4
Method: DFT, PBE
State: relaxed

As for the calculated volume: 19.1 A^3/atom. The formation energy is -795 meV/atom. The value obtained for the spin magnetization is 0.00 μB per cell. As for the electronic total energy: -5.124 eV per atom.

Unit cell a=4.279 b=4.279 c=10.455 alpha=90.00 beta=90.00 gamma=90.00
Atoms (fractional coordinates):
Ca 0.500 0.000 0.252
Ca 0.000 0.500 0.748
Zn 0.500 0.500 0.500
Ge 0.000 0.000 0.500
Ge 0.500 0.000 0.868
Ge 0.000 0.500 0.132
Pt 0.500 0.500 0.000
Pt 0.000 0.000 0.000
Pt 0.500 0.000 0.634
Pt 0.000 0.500 0.366